Entry 1:
Density functional theory data (PBE) for an optimized crystal structure of CsInBr3.

a = 5.346 Å, b = 9.028 Å, c = 9.914 Å
α = 90.00°, β = 105.78°, γ = 90.00°
Fractional positions:
Cs: 0.677 0.250 0.859
Cs: 0.323 0.750 0.141
Br: 0.848 0.476 0.190
Br: 0.152 0.524 0.810
Br: 0.848 0.024 0.190
Br: 0.152 0.976 0.810
Br: 0.485 0.250 0.461
Br: 0.515 0.750 0.539
In: 0.942 0.250 0.376
In: 0.058 0.750 0.624

Summary:
Total moment ... 0.00 μB/f.u.
Crystal system ... monoclinic
Uncorrected formation energy ... -1.161 eV per atom
E ... -2.88 eV/atom
Symmetry ... No. 11


Entry 2:
Density functional theory data (PBE) for an optimized crystal structure of CsIn5Br6.

a = 8.304 Å, b = 8.304 Å, c = 8.327 Å
α = 99.53°, β = 99.53°, γ = 119.19°
Fractional positions:
Cs: 0.000 0.000 0.000
Br: 0.909 0.558 0.735
Br: 0.442 0.091 0.265
Br: 0.721 0.721 0.240
Br: 0.279 0.279 0.760
Br: 0.558 0.909 0.735
Br: 0.091 0.442 0.265
In: 0.833 0.167 0.500
In: 0.665 0.335 0.000
In: 0.500 0.500 0.500
In: 0.335 0.665 0.000
In: 0.167 0.833 0.500

Summary:
Total moment ... 0.00 μB/f.u.
Crystal system ... monoclinic
Uncorrected formation energy ... -0.830 eV per atom
E ... -2.88 eV/atom
Symmetry ... No. 12


Entry 3:
Density functional theory data (PBE) for an optimized crystal structure of Cs2InBr6.

a = 7.709 Å, b = 7.709 Å, c = 13.470 Å
α = 90.00°, β = 90.00°, γ = 120.00°
Fractional positions:
Cs: 0.000 0.000 0.622
Cs: 0.000 0.000 0.122
Cs: 0.333 0.667 0.880
Cs: 0.667 0.333 0.380
In: 0.333 0.667 0.251
In: 0.667 0.333 0.751
Br: 0.496 0.993 0.132
Br: 0.504 0.496 0.632
Br: 0.993 0.496 0.632
Br: 0.007 0.504 0.132
Br: 0.496 0.504 0.132
Br: 0.504 0.007 0.632
Br: 0.833 0.665 0.867
Br: 0.167 0.833 0.367
Br: 0.665 0.833 0.367
Br: 0.335 0.167 0.867
Br: 0.833 0.167 0.867
Br: 0.167 0.335 0.367

Summary:
Total moment ... 0.01 μB/f.u.
Crystal system ... hexagonal
Uncorrected formation energy ... -1.130 eV per atom
E ... -2.74 eV/atom
Symmetry ... No. 186


Entry 4:
Density functional theory data (PBE) for an optimized crystal structure of Cs5In3Br12.

a = 17.656 Å, b = 17.656 Å, c = 17.656 Å
α = 109.47°, β = 109.47°, γ = 109.47°
Fractional positions:
In: 0.750 0.375 0.125
In: 0.875 0.750 0.125
In: 0.375 0.750 0.625
In: 0.250 0.125 0.375
In: 0.875 0.125 0.250
In: 0.375 0.625 0.250
In: 0.625 0.375 0.750
In: 0.125 0.875 0.750
In: 0.750 0.875 0.625
In: 0.625 0.250 0.375
In: 0.125 0.250 0.875
In: 0.250 0.625 0.875
Cs: 0.125 0.375 0.250
Cs: 0.000 0.500 0.000
Cs: 0.000 0.000 0.000
Cs: 0.375 0.250 0.125
Cs: 0.500 0.000 0.500
Cs: 0.500 0.500 0.000
Cs: 0.125 0.750 0.375
Cs: 0.750 0.125 0.875
Cs: 0.750 0.625 0.375
Cs: 0.375 0.125 0.750
Cs: 0.625 0.875 0.250
Cs: 0.500 0.500 0.500
Cs: 0.500 0.000 0.000
Cs: 0.000 0.000 0.500
Cs: 0.250 0.375 0.625
Cs: 0.250 0.875 0.125
Cs: 0.000 0.500 0.500
Cs: 0.875 0.250 0.625
Cs: 0.625 0.750 0.875
Cs: 0.875 0.625 0.750
Br: 0.620 0.197 0.988
Br: 0.367 0.488 0.291
Br: 0.012 0.303 0.380
Br: 0.488 0.120 0.197
Br: 0.423 0.620 0.633
Br: 0.012 0.709 0.133
Br: 0.367 0.880 0.577
Br: 0.209 0.077 0.197
Br: 0.709 0.012 0.633
Br: 0.620 0.423 0.133
Br: 0.880 0.512 0.303
Br: 0.867 0.791 0.988
Br: 0.197 0.620 0.488
Br: 0.303 0.291 0.923
Br: 0.923 0.791 0.303
Br: 0.577 0.197 0.709
Br: 0.923 0.133 0.120
Br: 0.512 0.633 0.209
Br: 0.867 0.077 0.380
Br: 0.197 0.577 0.209
Br: 0.303 0.012 0.880
Br: 0.709 0.697 0.577
Br: 0.791 0.867 0.488
Br: 0.880 0.367 0.077
Br: 0.291 0.303 0.423
Br: 0.209 0.133 0.512
Br: 0.120 0.633 0.923
Br: 0.133 0.923 0.620
Br: 0.697 0.988 0.120
Br: 0.803 0.423 0.791
Br: 0.488 0.367 0.791
Br: 0.423 0.803 0.291
Br: 0.077 0.867 0.880
Br: 0.077 0.209 0.697
Br: 0.803 0.380 0.512
Br: 0.133 0.209 0.012
Br: 0.697 0.709 0.077
Br: 0.291 0.988 0.367
Br: 0.380 0.577 0.867
Br: 0.120 0.488 0.697
Br: 0.791 0.923 0.803
Br: 0.633 0.120 0.423
Br: 0.512 0.880 0.803
Br: 0.988 0.291 0.867
Br: 0.577 0.380 0.367
Br: 0.988 0.697 0.620
Br: 0.633 0.512 0.709
Br: 0.380 0.803 0.012

Summary:
Total moment ... 1.17 μB/f.u.
Crystal system ... cubic
Uncorrected formation energy ... -1.188 eV per atom
E ... -2.82 eV/atom
Symmetry ... No. 230


Entry 5:
Density functional theory data (PBE) for an optimized crystal structure of Cs4InBr7.

a = 7.383 Å, b = 10.983 Å, c = 8.737 Å
α = 96.45°, β = 65.01°, γ = 70.36°
Fractional positions:
Cs: 0.804 0.202 0.425
Cs: 0.431 0.798 0.575
Cs: 0.970 0.503 0.804
Cs: 0.277 0.497 0.196
In: 0.630 0.000 0.000
Br: 0.890 0.810 0.657
Br: 0.357 0.190 0.343
Br: 0.824 0.835 0.127
Br: 0.786 0.165 0.873
Br: 0.484 0.518 0.764
Br: 0.282 0.000 0.000
Br: 0.765 0.482 0.236

Summary:
Total moment ... 0.17 μB/f.u.
Crystal system ... monoclinic
Uncorrected formation energy ... -1.465 eV per atom
E ... -2.95 eV/atom
Symmetry ... No. 5


Entry 6:
Density functional theory data (PBE) for an optimized crystal structure of Cs4InBr5.

a = 7.345 Å, b = 8.882 Å, c = 8.882 Å
α = 80.16°, β = 65.58°, γ = 65.58°
Fractional positions:
Cs: 0.410 0.397 0.800
Cs: 0.807 0.800 0.603
Cs: 0.210 0.200 0.397
Cs: 0.606 0.603 0.200
In: 0.017 0.000 0.000
Br: 0.914 0.383 0.807
Br: 0.296 0.807 0.617
Br: 0.721 0.193 0.383
Br: 0.103 0.617 0.193
Br: 0.427 0.000 0.000

Summary:
Total moment ... 0.00 μB/f.u.
Crystal system ... tetragonal
Uncorrected formation energy ... -1.557 eV per atom
E ... -3.01 eV/atom
Symmetry ... No. 79


The lowest E belongs to which entry? Cs4InBr5